1.
First-principles (PBE) data for a relaxed Rb3Rh5I12 crystal, as listed in Alexandria.

Properties
Its uncorrected formation energy is -33.0 kJ per mole of atoms.

Unit cell a=18.117 b=18.117 c=18.117 alpha=90.00 beta=90.00 gamma=90.00
Space group Ia-3d (No. 230)
Symmetry-distinct sites (fractional):
Rb (0.000, 0.250, 0.125)
Rh (0.000, 0.000, 0.000)
Rh (0.000, 0.250, 0.375)
I (0.037, 0.047, 0.641)


2.
First-principles (PBE) data for a relaxed ZrMoI3 crystal, as listed in Alexandria.

Properties
The energy above the lowest structure with this stoichiometry is 0 meV per atom. Its uncorrected formation energy is 57.2 kJ per mole of atoms.

Unit cell a=5.745 b=5.745 c=5.745 alpha=90.00 beta=90.00 gamma=90.00
Space group Pm-3m (No. 221)
Symmetry-distinct sites (fractional):
Zr (0.000, 0.000, 0.000)
Mo (0.500, 0.500, 0.500)
I (0.000, 0.000, 0.500)


3.
First-principles (PBE) data for a relaxed Ca4Bi3H crystal, as listed in Alexandria.

Properties
The total energy comes out at -3.42 eV per atom.

Unit cell a=7.389 b=11.134 c=6.502 alpha=90.00 beta=90.00 gamma=90.00
Space group Pmn2_1 (No. 31)
Symmetry-distinct sites (fractional):
Ca (0.000, 0.109, 0.000)
Ca (0.000, 0.830, 0.350)
Ca (0.246, 0.336, 0.464)
Bi (0.000, 0.092, 0.507)
Bi (0.214, 0.373, 0.971)
H (0.000, 0.756, 0.031)


4.
First-principles (PBE) data for a relaxed Tb3ZnAg crystal, as listed in Alexandria.

Properties
The energy above the lowest structure with this stoichiometry is 0 meV per atom.

Unit cell a=5.124 b=19.435 c=5.126 alpha=90.00 beta=90.00 gamma=90.00
Space group Cmcm (No. 63)
Symmetry-distinct sites (fractional):
Tb (0.000, 0.064, 0.250)
Tb (0.000, 0.249, 0.250)
Tb (0.000, 0.433, 0.250)
Zn (0.000, 0.155, 0.750)
Ag (0.000, 0.340, 0.750)


5.
First-principles (PBE) data for a relaxed K3PmNp3S8 crystal, as listed in Alexandria.

Properties
Its uncorrected formation energy is -145.8 kJ per mole of atoms.

Unit cell a=8.1494 b=8.1494 c=22.2783 alpha=90.00 beta=90.00 gamma=120.00
Space group R-3m (No. 166, hexagonal axes)
Symmetry-distinct sites (fractional):
K (0.0000, 0.5000, 0.0000)
Pm (0.0000, 0.0000, 0.5000)
Np (0.0000, 0.5000, 0.5000)
S (0.0000, 0.0000, 0.2324)
S (0.0080, 0.5040, 0.7675)


6.
First-principles (PBE) data for a relaxed SrLi2HgRh crystal, as listed in Alexandria.

Properties
The energy above the lowest structure with this stoichiometry is 0 meV per atom.

Unit cell a=4.771 b=4.771 c=5.307 alpha=90.00 beta=90.00 gamma=90.00
Space group P4/mmm (No. 123)
Symmetry-distinct sites (fractional):
Sr (0.000, 0.000, 0.000)
Li (0.000, 0.500, 0.500)
Hg (0.500, 0.500, 0.000)
Rh (0.500, 0.500, 0.500)


7.
First-principles (PBE) data for a relaxed K2MnPt crystal, as listed in Alexandria.

Properties
The energy above the lowest structure with this stoichiometry is 416 meV per atom.

Unit cell a=4.213 b=4.326 c=10.822 alpha=90.00 beta=90.00 gamma=90.00
Space group Immm (No. 71)
Symmetry-distinct sites (fractional):
K (0.000, 0.000, 0.244)
Mn (0.000, 0.500, 0.000)
Pt (0.000, 0.500, 0.500)


8.
First-principles (PBE) data for a relaxed ScNb3Al crystal, as listed in Alexandria.

Properties
The energy above the lowest structure with this stoichiometry is 0 meV per atom.

Unit cell a=4.791 b=4.791 c=4.791 alpha=90.00 beta=90.00 gamma=90.00
Space group Pm-3m (No. 221)
Symmetry-distinct sites (fractional):
Sc (0.000, 0.000, 0.000)
Nb (0.000, 0.500, 0.500)
Al (0.500, 0.500, 0.500)


9.
First-principles (PBE) data for a relaxed RbNaC2 crystal, as listed in Alexandria.

Properties
The energy above the lowest structure with this stoichiometry is 0 meV per atom.

Unit cell a=3.943 b=3.943 c=17.724 alpha=90.00 beta=90.00 gamma=90.00
Space group I4_1/amd (No. 141, origin choice 2)
Symmetry-distinct sites (fractional):
Rb (0.000, 0.250, 0.375)
Na (0.000, 0.250, 0.875)
C (0.000, 0.000, 0.000)


10.
First-principles (PBE) data for a relaxed As2PdC crystal, as listed in Alexandria.

Properties
The total energy comes out at -5.49 eV per atom.

Unit cell a=5.443 b=5.443 c=9.094 alpha=90.00 beta=90.00 gamma=90.00
Space group I-42d (No. 122)
Symmetry-distinct sites (fractional):
As (0.191, 0.250, 0.125)
Pd (0.000, 0.000, 0.500)
C (0.000, 0.000, 0.000)


11.
First-principles (PBE) data for a relaxed CoRe2Mo crystal, as listed in Alexandria.

Properties
The energy above the lowest structure with this stoichiometry is 169 meV per atom.

Unit cell a=6.134 b=6.134 c=6.134 alpha=90.00 beta=90.00 gamma=90.00
Space group F-43m (No. 216)
Symmetry-distinct sites (fractional):
Co (0.000, 0.000, 0.000)
Re (0.000, 0.000, 0.500)
Re (0.250, 0.250, 0.750)
Mo (0.250, 0.250, 0.250)


12.
First-principles (PBE) data for a relaxed Nd4Tl2GaHg crystal, as listed in Alexandria.

Properties
The total energy comes out at -3.83 eV per atom.

Unit cell a=5.4473 b=5.4473 c=26.5403 alpha=90.00 beta=90.00 gamma=120.00
Space group R-3m (No. 166, hexagonal axes)
Symmetry-distinct sites (fractional):
Nd (0.0000, 0.0000, 0.1207)
Nd (0.0000, 0.0000, 0.3715)
Tl (0.0000, 0.0000, 0.2456)
Ga (0.0000, 0.0000, 0.0000)
Hg (0.0000, 0.0000, 0.5000)


13.
First-principles (PBE) data for a relaxed LaTl2Ni crystal, as listed in Alexandria.

Properties
The total energy comes out at -3.91 eV per atom.

Unit cell a=4.427 b=4.453 c=5.109 alpha=90.00 beta=90.00 gamma=90.00
Space group Pmmm (No. 47)
Symmetry-distinct sites (fractional):
La (0.000, 0.000, 0.000)
Tl (0.000, 0.500, 0.500)
Tl (0.500, 0.000, 0.500)
Ni (0.500, 0.500, 0.000)


14.
First-principles (PBE) data for a relaxed Ge2SbPt7 crystal, as listed in Alexandria.

Properties
Its uncorrected formation energy is -31.7 kJ per mole of atoms.

Unit cell a=4.009 b=4.009 c=21.243 alpha=90.00 beta=90.00 gamma=90.00
Space group I4/mmm (No. 139)
Symmetry-distinct sites (fractional):
Ge (0.000, 0.000, 0.175)
Sb (0.000, 0.000, 0.500)
Pt (0.000, 0.000, 0.000)
Pt (0.000, 0.500, 0.101)
Pt (0.000, 0.500, 0.250)


15.
First-principles (PBE) data for a relaxed BaTe2W crystal, as listed in Alexandria.

Properties
The energy above the lowest structure with this stoichiometry is 193 meV per atom. Its uncorrected formation energy is -3.1 kJ per mole of atoms.

Unit cell a=3.655 b=3.962 c=15.845 alpha=90.00 beta=90.00 gamma=90.00
Space group Imm2 (No. 44)
Symmetry-distinct sites (fractional):
Ba (0.000, 0.000, 0.000)
Te (0.000, 0.000, 0.630)
Te (0.000, 0.500, 0.826)
W (0.000, 0.500, 0.258)


16.
First-principles (PBE) data for a relaxed KCr2Si crystal, as listed in Alexandria.

Properties
Its uncorrected formation energy is 65.4 kJ per mole of atoms.

Unit cell a=2.990 b=4.321 c=6.771 alpha=90.00 beta=98.45 gamma=90.00
Space group P2/m (No. 10)
Symmetry-distinct sites (fractional):
K (0.000, 0.000, 0.000)
Cr (0.279, 0.500, 0.611)
Si (0.500, 0.000, 0.500)


17.
First-principles (PBE) data for a relaxed Ti2CdGeH crystal, as listed in Alexandria.

Properties
The total energy comes out at -5.10 eV per atom.

Unit cell a=4.034 b=4.034 c=4.325 alpha=90.00 beta=90.00 gamma=90.00
Space group P4/mmm (No. 123)
Symmetry-distinct sites (fractional):
Ti (0.000, 0.500, 0.000)
Cd (0.000, 0.000, 0.500)
Ge (0.500, 0.500, 0.500)
H (0.000, 0.000, 0.000)


18.
First-principles (PBE) data for a relaxed La2Ta crystal, as listed in Alexandria.

Properties
The energy above the lowest structure with this stoichiometry is 396 meV per atom.

Unit cell a=7.665 b=7.675 c=3.258 alpha=90.00 beta=90.00 gamma=90.00
Space group Pnnm (No. 58)
Symmetry-distinct sites (fractional):
La (0.174, 0.199, 0.000)
Ta (0.000, 0.500, 0.500)


19.
First-principles (PBE) data for a relaxed MgCd3O crystal, as listed in Alexandria.

Properties
The energy above the lowest structure with this stoichiometry is 858 meV per atom. Its uncorrected formation energy is 72.6 kJ per mole of atoms.

Unit cell a=5.379 b=5.379 c=5.379 alpha=90.00 beta=90.00 gamma=90.00
Space group Pm-3m (No. 221)
Symmetry-distinct sites (fractional):
Mg (0.000, 0.000, 0.000)
Cd (0.000, 0.000, 0.500)
O (0.500, 0.500, 0.500)


20.
First-principles (PBE) data for a relaxed LiIrBr2 crystal, as listed in Alexandria.

Properties
The energy above the lowest structure with this stoichiometry is 420 meV per atom. Its uncorrected formation energy is 9.9 kJ per mole of atoms.

Unit cell a=4.730 b=4.730 c=3.221 alpha=90.00 beta=90.00 gamma=90.00
Space group P4/mmm (No. 123)
Symmetry-distinct sites (fractional):
Li (0.000, 0.000, 0.000)
Ir (0.500, 0.500, 0.000)
Br (0.000, 0.500, 0.500)